Compound: Tb12SmAl4N3
Source: the Alexandria database
Functional: PBE
Structure: optimized geometry

POSCAR file:
```
Tb12SmAl4N3
1.0
8.542 0.000 0.000
-2.847 8.053 0.000
-2.847 -4.027 6.974
Tb N Al Sm
12 3 4 1
Cartesian
4.271 0.000 3.487 Tb
4.133 -2.923 5.062 Tb
4.271 3.020 1.744 Tb
-1.424 1.007 5.231 Tb
-4.133 2.923 5.062 Tb
4.133 5.845 0.000 Tb
-1.424 4.027 3.487 Tb
-1.561 1.104 1.912 Tb
1.561 2.208 0.000 Tb
1.424 -1.007 5.231 Tb
1.561 -1.104 1.912 Tb
1.424 5.033 1.744 Tb
2.847 4.027 0.000 N
-2.847 2.013 3.487 N
2.847 -2.013 3.487 N
-1.424 4.027 0.000 Al
4.271 0.000 0.000 Al
-1.424 -2.013 3.487 Al
1.424 2.013 3.487 Al
0.000 0.000 0.000 Sm
```

SG = Im-3m (229)
size of the total moment = 0.00 μB per formula unit
theoretical density = 7.6 Mg/m³
E_form (uncorrected) = -7.46 eV per formula unit